1.
Below is an optimized crystal structure of SmErMgCu, with properties calculated at the PBE level.

Cell: 5.157 5.157 5.157 Å, 60.00 60.00 60.00°
Fractional coordinates of all 4 atoms:
Sm 0.000 0.000 0.000
Er 0.500 0.500 0.500
Mg 0.250 0.250 0.250
Cu 0.750 0.750 0.750

Computed properties:
Energy of formation from the pure elements in eV per atom: -0.06
Magnetic moment in μB per formula unit: 0.00
E_tot in eV per atom: -3.799

***

2.
Below is an optimized crystal structure of Na2LaYF8, with properties calculated at the PBE level.

Cell: 6.832 6.832 6.832 Å, 131.62 131.62 70.84°
Fractional coordinates of all 12 atoms:
Na 0.000 0.000 0.000
Na 0.750 0.250 0.500
La 0.500 0.500 0.000
Y 0.250 0.750 0.500
F 0.137 0.112 0.507
F 0.137 0.630 0.025
F 0.370 0.395 0.507
F 0.370 0.863 0.975
F 0.605 0.112 0.975
F 0.605 0.630 0.493
F 0.888 0.395 0.025
F 0.888 0.863 0.493

Computed properties:
Uncorrected formation energy in meV/atom: -3697
Magnetic moment in μB per formula unit: 0.00
E_tot in eV per atom: -6.114

***

3.
Below is an optimized crystal structure of ReIr3, with properties calculated at the PBE level.

Cell: 9.142 9.142 9.142 Å, 17.22 17.22 17.22°
Fractional coordinates of all 4 atoms:
Re 0.000 0.000 0.000
Ir 0.251 0.251 0.251
Ir 0.500 0.500 0.500
Ir 0.749 0.749 0.749

Computed properties:
Distance to the lowest polymorph of the same formula in kJ/mol of formula units: 28
Energy of formation from the pure elements in eV per atom: -0.08
Magnetic moment in μB per formula unit: 0.00
E_tot in eV per atom: -9.836

***

4.
Below is an optimized crystal structure of W2BrCl, with properties calculated at the PBE level.

Cell: 9.571 9.571 9.571 Å, 161.64 160.83 26.66°
Fractional coordinates of all 4 atoms:
W 0.000 0.000 0.000
W 0.602 0.102 0.500
Br 0.403 0.403 0.000
Cl 0.192 0.692 0.500

Computed properties:
Distance to the lowest polymorph of the same formula in kJ/mol of formula units: 197
Uncorrected formation energy in meV/atom: 440
Magnetic moment in μB per formula unit: 0.00
E_tot in eV per atom: -6.916

***

5.
Below is an optimized crystal structure of Sc3TaMo, with properties calculated at the PBE level.

Cell: 4.886 4.886 4.886 Å, 90.00 90.00 90.00°
Fractional coordinates of all 5 atoms:
Sc 0.000 0.000 0.500
Sc 0.000 0.500 0.000
Sc 0.500 0.000 0.000
Ta 0.500 0.500 0.500
Mo 0.000 0.000 0.000

Computed properties:
Distance to the lowest polymorph of the same formula in kJ/mol of formula units: 0
Energy of formation from the pure elements in eV per atom: 0.96
Magnetic moment in μB per formula unit: 0.17
E_tot in eV per atom: -7.377

***

6.
Below is an optimized crystal structure of Na3MnBr, with properties calculated at the PBE level.

Cell: 5.847 5.847 5.847 Å, 90.00 90.00 90.00°
Fractional coordinates of all 5 atoms:
Na 0.000 0.000 0.500
Na 0.000 0.500 0.000
Na 0.500 0.000 0.000
Mn 0.000 0.000 0.000
Br 0.500 0.500 0.500

Computed properties:
Distance to the lowest polymorph of the same formula in kJ/mol of formula units: 138
Uncorrected formation energy in meV/atom: 349
Magnetic moment in μB per formula unit: 4.96
E_tot in eV per atom: -2.611

***

Question: Number 3 is which compound?
Answer: ReIr3

***

Question: Which formula does entry 6 have?
Answer: Na3MnBr